[1]
{
  "formula": "Ho3MnTe",
  "functional": "GGA-PBE",
  "state": "relaxed",
  "lattice": [[8.324, 0.000, 0.000], [0.000, 3.916, 0.000], [-2.697, 0.000, 7.947]],
  "species": ["Ho", "Ho", "Ho", "Ho", "Ho", "Ho", "Mn", "Mn", "Te", "Te"],
  "frac_coords": [[0.070, 0.250, 0.237], [0.307, 0.250, 0.920], [0.320, 0.750, 0.587], [0.680, 0.250, 0.413], [0.693, 0.750, 0.080], [0.930, 0.750, 0.763], [0.047, 0.250, 0.557], [0.953, 0.750, 0.443], [0.379, 0.750, 0.231], [0.621, 0.250, 0.769]]
}

=====

[2]
{
  "formula": "TeO2F",
  "functional": "GGA-PBE",
  "state": "relaxed",
  "relative_energy_ev_per_atom": 0.284,
  "lattice": [[1.767, 1.020, 5.714], [-1.767, 1.020, 5.714], [0.000, -2.041, 5.714]],
  "species": ["Te", "O", "O", "F"],
  "frac_coords": [[0.000, 0.000, 0.000], [0.381, 0.381, 0.381], [0.619, 0.619, 0.619], [0.500, 0.500, 0.500]]
}

=====

The evaluated M_tot for the records listed, in turn: 0.00 0.00 μB per cell.
The evaluated formation energy without anion corrections for the records listed, in turn: -0.50 -0.25 eV per atom.
The evaluated electronic total energy for the records listed, in turn: -57.10 -15.93 eV/cell.